Computed, not measured: crystalline CrPbO4 at its relaxed geometry at the PBE+U level of DFT.

Results
Final energy: -6.4574 eV/atom

Cell: 6.9170 7.6105 8.8461 Å, 90.00 126.71 90.00°
With the nearest neighbours (Å) after each atom.
Space group P2_1/c (No. 14)
Unique sites:
Cr  0.1830  0.1650  0.2985 x4  4 O 1.66-1.69
Pb  0.3118  0.6336  0.2160 x4  6 O 2.51-2.77
O  0.0949  0.7091  0.3888 x4  1 Cr 1.66
O  0.1508  0.0951  0.4632 x4  1 Cr 1.69
O  0.3167  0.0142  0.2534 x4  1 Cr 1.67
O  0.3540  0.1538  0.8753 x4  1 Cr 1.67